DFT (PBE) results for a relaxed SmYEr2 crystal.

The space group is P4/mmm (No. 123) and the conventional cell measures 3.5569, 3.5569 and 10.0445 Å, with angles of 90.00, 90.00 and 90.00 degrees. The distinct sites, in fractional coordinates, are Sm at (0.0000, 0.0000, 0.0000), Y at (0.0000, 0.0000, 0.5000) and Er at (0.5000, 0.5000, 0.2509).

The value obtained for the magnetization is 0.00 μB/atom. For the density of states at the Fermi level, the calculation gives 5.5 states/eV per cell. The value obtained for the energy relative to the lowest polymorph listed for this composition is 0.014 eV/atom.

---

DFT (PBE) results for a relaxed Sm3Y8Er3 crystal.

The space group is Immm (No. 71) and the conventional cell measures 5.6606, 10.8146 and 14.9975 Å, with angles of 90.00, 90.00 and 90.00 degrees. The distinct sites, in fractional coordinates, are Sm at (0.0000, 0.0000, 0.0000), Sm at (0.0000, 0.5000, 0.3194), Y at (0.0000, 0.1589, 0.2787), Y at (0.0000, 0.3419, 0.1028), Er at (0.0000, 0.0000, 0.5000) and Er at (0.0000, 0.2966, 0.5000).

The value obtained for the magnetization is 0.00 μB/atom. For the density of states at the Fermi level, the calculation gives 47.6 states/eV per cell. The total energy is -155.839 eV per cell.

---

DFT (PBE) results for a relaxed SmY4Er3 crystal.

The space group is Pmmm (No. 47) and the conventional cell measures 3.5581, 7.0989 and 10.0485 Å, with angles of 90.00, 90.00 and 90.00 degrees. The distinct sites, in fractional coordinates, are Sm at (0.0000, 0.0000, 0.0000), Y at (0.5000, 0.2511, 0.2516), Er at (0.0000, 0.0000, 0.5000), Er at (0.0000, 0.5000, 0.0000) and Er at (0.0000, 0.5000, 0.5000).

The value obtained for the magnetization is 0.00 μB/atom. For the density of states at the Fermi level, the calculation gives 12.2 states/eV per cell. The value obtained for the energy relative to the lowest polymorph listed for this composition is 0.023 eV/atom.

---

DFT (PBE) results for a relaxed SmY4Er6 crystal.

The space group is I-42m (No. 121) and the conventional cell measures 6.5414, 6.5414 and 17.0068 Å, with angles of 90.00, 90.00 and 90.00 degrees. The distinct sites, in fractional coordinates, are Sm at (0.0000, 0.0000, 0.0000), Y at (0.1871, 0.1871, 0.1741), Er at (0.0000, 0.5000, 0.0000) and Er at (0.1789, 0.1789, 0.3705).

The value obtained for the magnetization is 0.00 μB/atom. For the density of states at the Fermi level, the calculation gives 30.7 states/eV per cell. The total energy is -109.126 eV per cell.

---

DFT (PBE) results for a relaxed Sm2Y3Er2 crystal.

The space group is I2_13 (No. 199) and the conventional cell measures 9.7522, 9.7522 and 9.7522 Å, with angles of 90.00, 90.00 and 90.00 degrees. The distinct sites, in fractional coordinates, are Sm at (0.1544, 0.3456, 0.6544), Y at (0.0000, 0.2500, 0.3103) and Er at (0.0450, 0.0450, 0.0450).

The value obtained for the magnetization is 0.00 μB/atom. For the density of states at the Fermi level, the calculation gives 36.6 states/eV per cell. The value obtained for the energy relative to the lowest polymorph listed for this composition is 0.111 eV/atom.

---

DFT (PBE) results for a relaxed Sm2Y3Er7 crystal.

The space group is Cmmm (No. 65) and the conventional cell measures 5.7964, 37.3764 and 3.5856 Å, with angles of 90.00, 90.00 and 90.00 degrees. The distinct sites, in fractional coordinates, are Sm at (0.0000, 0.1755, 0.0000), Y at (0.0000, 0.3508, 0.5000), Y at (0.0000, 0.5000, 0.5000), Er at (0.0000, 0.0000, 0.0000), Er at (0.0000, 0.0885, 0.5000), Er at (0.0000, 0.2710, 0.0000) and Er at (0.0000, 0.4280, 0.0000).

The value obtained for the magnetization is 0.00 μB/atom. For the density of states at the Fermi level, the calculation gives 41.5 states/eV per cell. The value obtained for the energy relative to the lowest polymorph listed for this composition is 0.087 eV/atom.

---

DFT (PBE) results for a relaxed Sm5Y3Er3 crystal.

The space group is P-62m (No. 189) and the conventional cell measures 9.7113, 9.7113 and 5.6195 Å, with angles of 90.00, 90.00 and 120.00 degrees. The distinct sites, in fractional coordinates, are Sm at (0.0000, 0.7229, 0.0000), Sm at (0.3333, 0.6667, 0.0000), Y at (0.0000, 0.5338, 0.5000) and Er at (0.0000, 0.3641, 0.0000).

The value obtained for the magnetization is 0.00 μB/atom. For the density of states at the Fermi level, the calculation gives 19.3 states/eV per cell. The value obtained for the energy relative to the lowest polymorph listed for this composition is 0.467 eV/atom.

---

DFT (PBE) results for a relaxed Sm2Y3Er7 crystal.

The space group is P2/m (No. 10) and the conventional cell measures 6.3062, 3.5072 and 17.3558 Å, with angles of 90.00, 96.16 and 90.00 degrees. The distinct sites, in fractional coordinates, are Sm at (0.0592, 0.0000, 0.1737), Y at (0.4515, 0.5000, 0.8423), Y at (0.5000, 0.0000, 0.5000), Er at (0.0000, 0.5000, 0.5000), Er at (0.2259, 0.0000, 0.6660), Er at (0.2554, 0.0000, 0.9988) and Er at (0.2728, 0.5000, 0.3357).

The value obtained for the magnetization is 0.00 μB/atom. For the density of states at the Fermi level, the calculation gives 17.9 states/eV per cell. The value obtained for the energy relative to the lowest polymorph listed for this composition is 0.000 eV/atom.

---

DFT (PBE) results for a relaxed Sm3Y3Er8 crystal.

The space group is Immm (No. 71) and the conventional cell measures 5.6086, 10.8454 and 14.8443 Å, with angles of 90.00, 90.00 and 90.00 degrees. The distinct sites, in fractional coordinates, are Sm at (0.0000, 0.0000, 0.0000), Sm at (0.0000, 0.5000, 0.3163), Y at (0.0000, 0.0000, 0.5000), Y at (0.0000, 0.2972, 0.5000), Er at (0.0000, 0.1594, 0.2773) and Er at (0.0000, 0.3437, 0.1034).

The value obtained for the magnetization is 0.00 μB/atom. For the density of states at the Fermi level, the calculation gives 47.0 states/eV per cell. The total energy is -136.882 eV per cell.

---

DFT (PBE) results for a relaxed Sm2Y2Er crystal.

The space group is P4/mbm (No. 127) and the conventional cell measures 9.2776, 9.2776 and 3.8097 Å, with angles of 90.00, 90.00 and 90.00 degrees. The distinct sites, in fractional coordinates, are Sm at (0.1304, 0.3696, 0.0000), Y at (0.1691, 0.6691, 0.5000) and Er at (0.0000, 0.0000, 0.0000).

The value obtained for the magnetization is 0.00 μB/atom. For the density of states at the Fermi level, the calculation gives 7.4 states/eV per cell. The value obtained for the energy relative to the lowest polymorph listed for this composition is 0.000 eV/atom.

---

DFT (PBE) results for a relaxed Sm5Y3Er crystal.

The space group is C2/m (No. 12) and the conventional cell measures 15.2547, 11.6232 and 9.9295 Å, with angles of 90.00, 129.73 and 90.00 degrees. The distinct sites, in fractional coordinates, are Sm at (0.0000, 0.2463, 0.0000), Sm at (0.1516, 0.2478, 0.7452), Sm at (0.2237, 0.5000, 0.0437), Sm at (0.2272, 0.0000, 0.2370), Y at (0.0000, 0.0000, 0.5000), Y at (0.0000, 0.5000, 0.0000), Y at (0.0093, 0.0000, 0.8245), Y at (0.0165, 0.5000, 0.3549) and Er at (0.2480, 0.0000, 0.5956).

The value obtained for the magnetization is 0.00 μB/atom. For the density of states at the Fermi level, the calculation gives 55.6 states/eV per cell. The value obtained for the energy relative to the lowest polymorph listed for this composition is 0.341 eV/atom.

---

DFT (PBE) results for a relaxed SmY3Er3 crystal.

The space group is R3m (No. 160, hexagonal axes) and the conventional cell measures 9.8396, 9.8396 and 8.2136 Å, with angles of 90.00, 90.00 and 120.00 degrees. The distinct sites, in fractional coordinates, are Sm at (0.0000, 0.0000, 0.0000), Y at (0.0664, 0.5332, 0.3859) and Er at (0.1006, 0.5503, 0.9614).

The value obtained for the magnetization is 0.00 μB/atom. For the density of states at the Fermi level, the calculation gives 34.0 states/eV per cell. The value obtained for the energy relative to the lowest polymorph listed for this composition is 0.113 eV/atom.

---

DFT (PBE) results for a relaxed SmY12Er3 crystal.

The space group is P4/mmm (No. 123) and the conventional cell measures 5.0390, 5.0390 and 20.1573 Å, with angles of 90.00, 90.00 and 90.00 degrees. The distinct sites, in fractional coordinates, are Sm at (0.0000, 0.0000, 0.0000), Y at (0.0000, 0.5000, 0.1264), Y at (0.0000, 0.5000, 0.3755), Y at (0.5000, 0.5000, 0.0000), Y at (0.5000, 0.5000, 0.2513), Y at (0.5000, 0.5000, 0.5000), Er at (0.0000, 0.0000, 0.2509) and Er at (0.0000, 0.0000, 0.5000).

The value obtained for the magnetization is 0.00 μB/atom. For the density of states at the Fermi level, the calculation gives 22.4 states/eV per cell. The total energy is -95.586 eV per cell.

---

DFT (PBE) results for a relaxed Sm5Y12Er2 crystal.

The space group is C2/m (No. 12) and the conventional cell measures 15.5806, 9.3593 and 8.6729 Å, with angles of 90.00, 91.99 and 90.00 degrees. The distinct sites, in fractional coordinates, are Sm at (0.0000, 0.0000, 0.0000), Sm at (0.2053, 0.5000, 0.5200), Sm at (0.2301, 0.0000, 0.0712), Y at (0.0572, 0.5000, 0.8337), Y at (0.0742, 0.0000, 0.3740), Y at (0.1291, 0.3093, 0.1684), Y at (0.1482, 0.1792, 0.7374) and Er at (0.0000, 0.3279, 0.5000).

The value obtained for the magnetization is 0.00 μB/atom. For the density of states at the Fermi level, the calculation gives 52.3 states/eV per cell. The value obtained for the energy relative to the lowest polymorph listed for this composition is 0.096 eV/atom.

---

DFT (PBE) results for a relaxed Sm7YEr12 crystal.

The space group is R-3 (No. 148, hexagonal axes) and the conventional cell measures 11.9036, 11.9036 and 16.1615 Å, with angles of 90.00, 90.00 and 120.00 degrees. The distinct sites, in fractional coordinates, are Sm at (0.0000, 0.0000, 0.0000), Sm at (0.0538, 0.1894, 0.2911), Y at (0.0000, 0.0000, 0.5000), Er at (0.0217, 0.4484, 0.2209) and Er at (0.0499, 0.5865, 0.5833).

The value obtained for the magnetization is 0.00 μB/atom. For the density of states at the Fermi level, the calculation gives 106.7 states/eV per cell. The value obtained for the energy relative to the lowest polymorph listed for this composition is 0.000 eV/atom.

---

DFT (PBE) results for a relaxed SmY3Er3 crystal.

The space group is R-3 (No. 148, hexagonal axes) and the conventional cell measures 6.1658, 6.1658 and 42.5463 Å, with angles of 90.00, 90.00 and 120.00 degrees. The distinct sites, in fractional coordinates, are Sm at (0.0000, 0.0000, 0.1667), Y at (0.9996, 0.3330, 0.0989) and Er at (0.0001, 0.3319, 0.6337).

The value obtained for the magnetization is 0.00 μB/atom. For the density of states at the Fermi level, the calculation gives 64.8 states/eV per cell. The value obtained for the energy relative to the lowest polymorph listed for this composition is 0.000 eV/atom.

---

DFT (PBE) results for a relaxed Sm3Y4Er8 crystal.

The space group is C2/m (No. 12) and the conventional cell measures 13.3372, 12.7901 and 6.7305 Å, with angles of 90.00, 120.25 and 90.00 degrees. The distinct sites, in fractional coordinates, are Sm at (0.0000, 0.0000, 0.0000), Sm at (0.2500, 0.2500, 0.0000), Y at (0.0000, 0.5000, 0.0000), Y at (0.0000, 0.5000, 0.5000), Y at (0.2500, 0.2500, 0.5000), Er at (0.0000, 0.1396, 0.5000), Er at (0.0000, 0.2455, 0.0000), Er at (0.2306, 0.0000, 0.9658) and Er at (0.2328, 0.0000, 0.4902).

The value obtained for the magnetization is 0.00 μB/atom. For the density of states at the Fermi level, the calculation gives 61.3 states/eV per cell. The total energy is -141.143 eV per cell.

---

DFT (PBE) results for a relaxed Sm3YEr8 crystal.

The space group is Cm (No. 8) and the conventional cell measures 12.5274, 11.2610 and 6.2712 Å, with angles of 90.00, 120.00 and 90.00 degrees. The distinct sites, in fractional coordinates, are Sm at (0.0000, 0.0000, 0.0000), Sm at (0.0007, 0.2506, 0.3368), Y at (0.0000, 0.5000, 0.0003), Er at (0.1670, 0.5000, 0.6692), Er at (0.1676, 0.0000, 0.6696), Er at (0.1685, 0.2503, 0.0008), Er at (0.3331, 0.0000, 0.3352), Er at (0.3329, 0.2499, 0.6650) and Er at (0.3326, 0.5000, 0.3344).

The value obtained for the magnetization is 0.00 μB/atom. For the density of states at the Fermi level, the calculation gives 44.5 states/eV per cell. The total energy is -113.989 eV per cell.

---

DFT (PBE) results for a relaxed Sm3Y6Er crystal.

The space group is Cmc2_1 (No. 36) and the conventional cell measures 9.6475, 21.1704 and 6.4245 Å, with angles of 90.00, 90.00 and 90.00 degrees. The distinct sites, in fractional coordinates, are Sm at (0.0000, 0.0785, 0.0000), Sm at (0.1680, 0.3714, 0.3950), Y at (0.0000, 0.1980, 0.7005), Y at (0.0000, 0.4864, 0.7226), Y at (0.1760, 0.2188, 0.2347), Y at (0.1829, 0.0616, 0.4735) and Er at (0.0000, 0.3398, 0.9238).

The value obtained for the magnetization is 0.00 μB/atom. For the density of states at the Fermi level, the calculation gives 65.0 states/eV per cell. The total energy is -225.615 eV per cell.